Entry 1:
Compound: TbHoO2
Source: OQMD
Functional: PBE-GGA
Structure: optimized geometry

Properties
Total moment ... 0.00 μB per atom
Final energy ... -30.3 eV per formula unit

Lattice parameters (Å, degrees): 3.3892 3.3892 4.7928 90.00 90.00 90.00
Closest atoms and distances in Å follow each position.
Space group P4/mmm (No. 123)
Asymmetric unit:
Tb 0.0000 0.0000 0.0000 (multiplicity 1)  6 O 2.40
Ho 0.5000 0.5000 0.5000 (multiplicity 1)  6 O 2.40
O 0.0000 0.0000 0.5000 (multiplicity 1)  2 Tb 2.40, 4 Ho 2.40
O 0.5000 0.5000 0.0000 (multiplicity 1)  2 Ho 2.40, 4 Tb 2.40

---

Entry 2:
Compound: Re8W7
Source: OQMD
Functional: PBE-GGA
Structure: optimized geometry

Properties
Formation energy from the elements ... 0.070 eV/atom
Total moment ... 0.00 μB per atom

Lattice parameters (Å, degrees): 9.6512 9.6512 5.0349 90.00 90.00 90.00
Closest atoms and distances in Å follow each position.
Space group P4_2/mnm (No. 136)
Asymmetric unit:
Re 0.0335 0.3650 0.0000 (multiplicity 8)  1 W 2.62, 5 Re 2.68-2.74
Re 0.0633 0.2629 0.5000 (multiplicity 8)  5 W 2.61-2.81, 5 Re 2.70-2.74
W 0.0000 0.0000 0.5000 (multiplicity 2)  4 Re 2.61, 8 W 2.83-2.88
W 0.1026 0.1026 0.0000 (multiplicity 4)  2 Re 2.62, 3 W 2.80-2.88
W 0.1853 0.8147 0.2493 (multiplicity 8)  2 W 2.51-2.52, 2 Re 2.78

---

> Look up the total moment of the second one.

0.00 μB per atom